[1]
VASP calculation (GGA-PBE) on an optimized crystal structure of Ba7SrAu2.

Values from the calculation:
- uncorrected energy (eV/atom) = -2.383
- space group = Cmmm
- density of states at the Fermi level (states/eV per atom) = 1.273
- DFT formation energy (meV per atom) = -213

abc: 6.3711 10.0082 10.0083
angles: 115.07 90.00 90.00
Element x y z (fractional)
Ba (0.0000, 0.7018, 0.2981)
Ba (0.0000, 0.2982, 0.7019)
Ba (0.5000, 0.0535, 0.3272)
Ba (0.5000, 0.9465, 0.6728)
Ba (0.5000, 0.3272, 0.0535)
Ba (0.5000, 0.6728, 0.9465)
Ba (0.5000, 0.5000, 0.5000)
Sr (0.0000, 0.0000, 0.0000)
Au (0.5000, 0.7013, 0.2987)
Au (0.5000, 0.2987, 0.7013)



[2]
VASP calculation (GGA-PBE) on an optimized crystal structure of CaAcZn2Si2.

Values from the calculation:
- formation energy without anion corrections (kJ per mole of atoms) = -48.67
- uncorrected energy (eV/atom) = -3.755
- space group = P-3m1
- density of states at the Fermi level (states/eV per atom) = 0.435

abc: 4.2662 4.2662 8.7148
angles: 90.00 90.00 120.00
Element x y z (fractional)
Ca (0.0000, 0.0000, 0.5000)
Ac (0.0000, 0.0000, 0.0000)
Zn (0.6667, 0.3333, 0.2604)
Zn (0.3333, 0.6667, 0.7396)
Si (0.6667, 0.3333, 0.7393)
Si (0.3333, 0.6667, 0.2607)



- density of states at the Fermi level of number 2 (CaAcZn2Si2)?
  0.435 states/eV per atom



- density of states at the Fermi level of number 2 (CaAcZn2Si2)?
  0.435 states/eV per atom



Copy entry 2 word for word.
VASP calculation (GGA-PBE) on an optimized crystal structure of CaAcZn2Si2.

Values from the calculation:
- formation energy without anion corrections (kJ per mole of atoms) = -48.67
- uncorrected energy (eV/atom) = -3.755
- space group = P-3m1
- density of states at the Fermi level (states/eV per atom) = 0.435

abc: 4.2662 4.2662 8.7148
angles: 90.00 90.00 120.00
Element x y z (fractional)
Ca (0.0000, 0.0000, 0.5000)
Ac (0.0000, 0.0000, 0.0000)
Zn (0.6667, 0.3333, 0.2604)
Zn (0.3333, 0.6667, 0.7396)
Si (0.6667, 0.3333, 0.7393)
Si (0.3333, 0.6667, 0.2607)